# 1
# PmPrBi

PmPrBi after structural relaxation (PBE, Alexandria via LeMat-Bulk).

E above lowest polymorph = 335 meV per atom
Space group = Immm (71)
E_form = -1.0 eV per formula unit

a = 10.113 Å, b = 10.113 Å, c = 10.113 Å
α = 160.02°, β = 145.01°, γ = 40.62°
Fractional coordinates of all 6 atoms:
Pm1 0.244 0.000 0.244
Pm2 0.756 0.000 0.756
Pr1 0.171 0.671 0.500
Pr2 0.829 0.329 0.500
Bi1 0.345 0.845 0.500
Bi2 0.655 0.155 0.500

=====

# 2
# Pm2PrBi

Pm2PrBi after structural relaxation (PBE, Alexandria via LeMat-Bulk).

E above lowest polymorph = 232 meV per atom
Space group = Fm-3m (225)
E_form = -0.9 eV per formula unit

a = 5.624 Å, b = 5.624 Å, c = 5.624 Å
α = 60.00°, β = 60.00°, γ = 60.00°
Fractional coordinates of all 4 atoms:
Pm1 0.250 0.250 0.250
Pm2 0.750 0.750 0.750
Pr1 0.000 0.000 0.000
Bi1 0.500 0.500 0.500

=====

# 3
# Pm2PrBi

Pm2PrBi after structural relaxation (PBE, Alexandria via LeMat-Bulk).

E above lowest polymorph = 83 meV per atom
Space group = P4/mmm (123)
E_form = -1.5 eV per formula unit

a = 4.166 Å, b = 4.166 Å, c = 7.515 Å
α = 90.00°, β = 90.00°, γ = 90.00°
Fractional coordinates of all 4 atoms:
Pm1 0.000 0.000 0.221
Pm2 0.000 0.000 0.779
Pr1 0.500 0.500 0.500
Bi1 0.500 0.500 0.000

=====

# 4
# PmPr4Bi5

PmPr4Bi5 after structural relaxation (PBE, Alexandria via LeMat-Bulk).

Space group = Immm (71)
E_form = -9.6 eV per formula unit

a = 12.240 Å, b = 12.240 Å, c = 12.240 Å
α = 158.18°, β = 149.00°, γ = 38.23°
Fractional coordinates of all 10 atoms:
Pm1 0.000 0.000 0.000
Pr1 0.199 0.199 0.000
Pr2 0.400 0.400 0.000
Pr3 0.600 0.600 0.000
Pr4 0.801 0.801 0.000
Bi1 0.099 0.599 0.500
Bi2 0.300 0.800 0.500
Bi3 0.500 0.000 0.500
Bi4 0.700 0.200 0.500
Bi5 0.901 0.401 0.500

=====

# 5
# Pm4PrBi2

Pm4PrBi2 after structural relaxation (PBE, Alexandria via LeMat-Bulk).

Space group = I4/mmm (139)
E_form = 1.4 eV per formula unit

a = 9.396 Å, b = 9.396 Å, c = 9.396 Å
α = 146.23°, β = 146.23°, γ = 48.50°
Fractional coordinates of all 7 atoms:
Pm1 0.000 0.500 0.500
Pm2 0.181 0.181 0.000
Pm3 0.500 0.000 0.500
Pm4 0.819 0.819 0.000
Pr1 0.000 0.000 0.000
Bi1 0.366 0.366 0.000
Bi2 0.634 0.634 0.000

=====

# 6
# PmPr2Bi

PmPr2Bi after structural relaxation (PBE, Alexandria via LeMat-Bulk).

E above lowest polymorph = 220 meV per atom
Space group = R3m (160)
E_form = -0.9 eV per formula unit

a = 10.099 Å, b = 10.099 Å, c = 10.099 Å
α = 23.97°, β = 23.97°, γ = 23.97°
Fractional coordinates of all 4 atoms:
Pm1 0.000 0.000 0.000
Pr1 0.237 0.237 0.237
Pr2 0.429 0.429 0.429
Bi1 0.833 0.833 0.833

=====

# 7
# Pm2Pr3Bi4

Pm2Pr3Bi4 after structural relaxation (PBE, Alexandria via LeMat-Bulk).

Space group = C2/m (12)
E_form = -6.7 eV per formula unit

a = 8.178 Å, b = 8.178 Å, c = 10.721 Å
α = 130.10°, β = 130.10°, γ = 34.57°
Fractional coordinates of all 9 atoms:
Pm1 0.149 0.149 0.333
Pm2 0.851 0.851 0.667
Pr1 0.153 0.153 0.723
Pr2 0.500 0.500 0.000
Pr3 0.847 0.847 0.277
Bi1 0.157 0.157 0.034
Bi2 0.442 0.442 0.594
Bi3 0.558 0.558 0.406
Bi4 0.843 0.843 0.966

=====

# 8
# PmPr3Bi4

PmPr3Bi4 after structural relaxation (PBE, Alexandria via LeMat-Bulk).

E above lowest polymorph = 5 meV per atom
Space group = Cmmm (65)
E_form = -7.6 eV per formula unit

a = 8.012 Å, b = 8.012 Å, c = 4.628 Å
α = 90.00°, β = 90.00°, γ = 109.46°
Fractional coordinates of all 8 atoms:
Pm1 0.000 0.000 0.000
Pr1 0.000 0.500 0.500
Pr2 0.500 0.000 0.500
Pr3 0.500 0.500 0.000
Bi1 0.248 0.248 0.500
Bi2 0.249 0.751 0.000
Bi3 0.751 0.249 0.000
Bi4 0.752 0.752 0.500

=====

# 9
# Pm5PrBi4

Pm5PrBi4 after structural relaxation (PBE, Alexandria via LeMat-Bulk).

Space group = Pmmn (59)
E_form = -4.1 eV per formula unit

a = 9.761 Å, b = 10.396 Å, c = 7.740 Å
α = 90.00°, β = 90.00°, γ = 90.00°
Fractional coordinates of all 20 atoms:
Pm1 0.038 0.049 0.249
Pm2 0.038 0.451 0.249
Pm3 0.250 0.750 0.246
Pm4 0.462 0.049 0.249
Pm5 0.462 0.451 0.249
Pm6 0.538 0.549 0.751
Pm7 0.538 0.951 0.751
Pm8 0.750 0.250 0.754
Pm9 0.962 0.549 0.751
Pm10 0.962 0.951 0.751
Pr1 0.250 0.250 0.861
Pr2 0.750 0.750 0.139
Bi1 0.029 0.250 0.558
Bi2 0.250 0.548 0.946
Bi3 0.250 0.952 0.946
Bi4 0.471 0.250 0.558
Bi5 0.529 0.750 0.442
Bi6 0.750 0.048 0.054
Bi7 0.750 0.452 0.054
Bi8 0.971 0.750 0.442

=====

# 10
# PmPrBi

PmPrBi after structural relaxation (PBE, Alexandria via LeMat-Bulk).

E above lowest polymorph = 370 meV per atom
Space group = P3m1 (156)
E_form = -0.9 eV per formula unit

a = 5.327 Å, b = 5.327 Å, c = 4.170 Å
α = 90.00°, β = 90.00°, γ = 120.00°
Fractional coordinates of all 3 atoms:
Pm1 0.000 0.000 0.000
Pr1 0.333 0.667 0.528
Bi1 0.667 0.333 0.193

=====

# 11
# Pm2PrBi

Pm2PrBi after structural relaxation (PBE, Alexandria via LeMat-Bulk).

E above lowest polymorph = 232 meV per atom
Space group = R3m (160)
E_form = -0.9 eV per formula unit

a = 10.065 Å, b = 10.065 Å, c = 10.065 Å
α = 23.80°, β = 23.80°, γ = 23.80°
Fractional coordinates of all 4 atoms:
Pm1 0.000 0.000 0.000
Pm2 0.194 0.194 0.194
Pr1 0.430 0.430 0.430
Bi1 0.597 0.597 0.597

=====

# 12
# PmPrBi2

PmPrBi2 after structural relaxation (PBE, Alexandria via LeMat-Bulk).

E above lowest polymorph = 113 meV per atom
Space group = R3m (160)
E_form = -3.3 eV per formula unit

a = 8.280 Å, b = 8.280 Å, c = 8.280 Å
α = 32.05°, β = 32.05°, γ = 32.05°
Fractional coordinates of all 4 atoms:
Pm1 0.000 0.000 0.000
Pr1 0.171 0.171 0.171
Bi1 0.585 0.585 0.585
Bi2 0.752 0.752 0.752

=====

# 13
# Pm3PrBi2

Pm3PrBi2 after structural relaxation (PBE, Alexandria via LeMat-Bulk).

E above lowest polymorph = 0 meV per atom
Space group = P-4m2 (115)
E_form = -3.9 eV per formula unit

a = 4.653 Å, b = 4.653 Å, c = 8.999 Å
α = 90.00°, β = 90.00°, γ = 90.00°
Fractional coordinates of all 6 atoms:
Pm1 0.000 0.000 0.000
Pm2 0.000 0.500 0.646
Pm3 0.500 0.000 0.354
Pr1 0.500 0.500 0.000
Bi1 0.000 0.500 0.283
Bi2 0.500 0.000 0.717

=====

# 14
# Pm3PrBi2

Pm3PrBi2 after structural relaxation (PBE, Alexandria via LeMat-Bulk).

E above lowest polymorph = 87 meV per atom
Space group = C2/m (12)
E_form = -3.3 eV per formula unit

a = 9.849 Å, b = 9.849 Å, c = 10.184 Å
α = 114.51°, β = 114.51°, γ = 26.42°
Fractional coordinates of all 12 atoms:
Pm1 0.057 0.057 0.172
Pm2 0.312 0.312 0.610
Pm3 0.356 0.356 0.026
Pm4 0.644 0.644 0.974
Pm5 0.688 0.688 0.390
Pm6 0.943 0.943 0.828
Pr1 0.112 0.112 0.619
Pr2 0.888 0.888 0.381
Bi1 0.247 0.247 0.216
Bi2 0.490 0.490 0.656
Bi3 0.510 0.510 0.344
Bi4 0.753 0.753 0.784

=====

# 15
# PmPr2Bi3

PmPr2Bi3 after structural relaxation (PBE, Alexandria via LeMat-Bulk).

Space group = Immm (71)
E_form = -5.7 eV per formula unit

a = 8.002 Å, b = 8.002 Å, c = 8.002 Å
α = 146.42°, β = 131.84°, γ = 59.99°
Fractional coordinates of all 6 atoms:
Pm1 0.000 0.000 0.000
Pr1 0.333 0.333 0.000
Pr2 0.667 0.667 0.000
Bi1 0.165 0.665 0.500
Bi2 0.500 0.000 0.500
Bi3 0.835 0.335 0.500

=====

# 16
# PmPr2Bi

PmPr2Bi after structural relaxation (PBE, Alexandria via LeMat-Bulk).

E above lowest polymorph = 3 meV per atom
Space group = P4/mmm (123)
E_form = -1.8 eV per formula unit

a = 5.005 Å, b = 5.005 Å, c = 5.041 Å
α = 90.00°, β = 90.00°, γ = 90.00°
Fractional coordinates of all 4 atoms:
Pm1 0.000 0.000 0.000
Pr1 0.000 0.500 0.500
Pr2 0.500 0.000 0.500
Bi1 0.500 0.500 0.000

=====

# 17
# Pm2PrBi2

Pm2PrBi2 after structural relaxation (PBE, Alexandria via LeMat-Bulk).

Space group = C2/m (12)
E_form = -2.5 eV per formula unit

a = 4.845 Å, b = 4.845 Å, c = 7.804 Å
α = 103.10°, β = 103.10°, γ = 80.79°
Fractional coordinates of all 5 atoms:
Pm1 0.247 0.753 0.000
Pm2 0.753 0.247 0.000
Pr1 0.500 0.500 0.500
Bi1 0.161 0.161 0.705
Bi2 0.839 0.839 0.295

=====

# 18
# Pm2Pr3Bi3

Pm2Pr3Bi3 after structural relaxation (PBE, Alexandria via LeMat-Bulk).

Space group = P6_3/mcm (193)
E_form = -6.3 eV per formula unit

a = 9.529 Å, b = 9.529 Å, c = 6.616 Å
α = 90.00°, β = 90.00°, γ = 120.00°
Fractional coordinates of all 16 atoms:
Pm1 0.333 0.667 0.000
Pm2 0.333 0.667 0.500
Pm3 0.667 0.333 0.000
Pm4 0.667 0.333 0.500
Pr1 0.000 0.247 0.250
Pr2 0.000 0.753 0.750
Pr3 0.247 0.000 0.250
Pr4 0.247 0.247 0.750
Pr5 0.753 0.000 0.750
Pr6 0.753 0.753 0.250
Bi1 0.000 0.390 0.750
Bi2 0.000 0.610 0.250
Bi3 0.390 0.000 0.750
Bi4 0.390 0.390 0.250
Bi5 0.610 0.000 0.250
Bi6 0.610 0.610 0.750

=====

# 19
# Pm3PrBi4

Pm3PrBi4 after structural relaxation (PBE, Alexandria via LeMat-Bulk).

E above lowest polymorph = 5 meV per atom
Space group = Cmmm (65)
E_form = -7.6 eV per formula unit

a = 7.957 Å, b = 7.957 Å, c = 4.597 Å
α = 90.00°, β = 90.00°, γ = 109.46°
Fractional coordinates of all 8 atoms:
Pm1 0.000 0.000 0.000
Pm2 0.000 0.500 0.500
Pm3 0.500 0.000 0.500
Pr1 0.500 0.500 0.000
Bi1 0.247 0.247 0.500
Bi2 0.249 0.751 0.000
Bi3 0.751 0.249 0.000
Bi4 0.753 0.753 0.500

=====

# 20
# Pm5Pr5Bi6

Pm5Pr5Bi6 after structural relaxation (PBE, Alexandria via LeMat-Bulk).

Space group = Amm2 (38)
E_form = -12.5 eV per formula unit

a = 6.604 Å, b = 9.506 Å, c = 9.506 Å
α = 119.82°, β = 90.00°, γ = 90.00°
Fractional coordinates of all 16 atoms:
Pm1 0.000 0.000 0.000
Pm2 0.250 0.085 0.419
Pm3 0.250 0.419 0.085
Pm4 0.750 0.085 0.419
Pm5 0.750 0.419 0.085
Pr1 0.000 0.505 0.751
Pr2 0.000 0.751 0.505
Pr3 0.500 0.503 0.503
Pr4 0.500 0.752 0.998
Pr5 0.500 0.998 0.752
Bi1 0.000 0.140 0.753
Bi2 0.000 0.360 0.360
Bi3 0.000 0.753 0.140
Bi4 0.500 0.141 0.141
Bi5 0.500 0.362 0.752
Bi6 0.500 0.752 0.362

=====

# 21
# PmPrBi2

PmPrBi2 after structural relaxation (PBE, Alexandria via LeMat-Bulk).

E above lowest polymorph = 0 meV per atom
Space group = C2/m (12)
E_form = -3.8 eV per formula unit

a = 4.612 Å, b = 4.612 Å, c = 7.980 Å
α = 106.86°, β = 106.86°, γ = 60.06°
Fractional coordinates of all 4 atoms:
Pm1 0.000 0.000 0.000
Pr1 0.500 0.500 0.500
Bi1 0.251 0.251 0.754
Bi2 0.749 0.749 0.246

=====

# 22
# PmPrBi2

PmPrBi2 after structural relaxation (PBE, Alexandria via LeMat-Bulk).

E above lowest polymorph = 253 meV per atom
Space group = P4/mmm (123)
E_form = -2.8 eV per formula unit

a = 5.539 Å, b = 5.539 Å, c = 4.127 Å
α = 90.00°, β = 90.00°, γ = 90.00°
Fractional coordinates of all 4 atoms:
Pm1 0.000 0.000 0.000
Pr1 0.500 0.500 0.000
Bi1 0.000 0.500 0.500
Bi2 0.500 0.000 0.500

=====

# 23
# Pm2PrBi3

Pm2PrBi3 after structural relaxation (PBE, Alexandria via LeMat-Bulk).

Space group = Immm (71)
E_form = -5.7 eV per formula unit

a = 7.967 Å, b = 7.967 Å, c = 7.967 Å
α = 146.42°, β = 131.85°, γ = 59.98°
Fractional coordinates of all 6 atoms:
Pm1 0.166 0.166 0.000
Pm2 0.834 0.834 0.000
Pr1 0.500 0.500 0.000
Bi1 0.000 0.500 0.500
Bi2 0.331 0.831 0.500
Bi3 0.669 0.169 0.500

=====

# 24
# PmPr8Bi6

PmPr8Bi6 after structural relaxation (PBE, Alexandria via LeMat-Bulk).

Space group = R-3 (148)
E_form = -9.2 eV per formula unit

a = 10.093 Å, b = 10.093 Å, c = 10.093 Å
α = 49.39°, β = 49.39°, γ = 49.39°
Fractional coordinates of all 15 atoms:
Pm1 0.000 0.000 0.000
Pr1 0.121 0.458 0.787
Pr2 0.213 0.879 0.542
Pr3 0.333 0.333 0.333
Pr4 0.458 0.787 0.121
Pr5 0.542 0.213 0.879
Pr6 0.667 0.667 0.667
Pr7 0.787 0.121 0.458
Pr8 0.879 0.542 0.213
Bi1 0.067 0.736 0.397
Bi2 0.264 0.603 0.933
Bi3 0.397 0.067 0.736
Bi4 0.603 0.933 0.264
Bi5 0.736 0.397 0.067
Bi6 0.933 0.264 0.603

=====

# 25
# PmPr4Bi5

PmPr4Bi5 after structural relaxation (PBE, Alexandria via LeMat-Bulk).

Space group = I4/mmm (139)
E_form = -9.6 eV per formula unit

a = 16.679 Å, b = 16.679 Å, c = 16.679 Å
α = 164.04°, β = 164.04°, γ = 22.64°
Fractional coordinates of all 10 atoms:
Pm1 0.000 0.000 0.000
Pr1 0.200 0.200 0.000
Pr2 0.400 0.400 0.000
Pr3 0.600 0.600 0.000
Pr4 0.800 0.800 0.000
Bi1 0.099 0.099 0.000
Bi2 0.300 0.300 0.000
Bi3 0.500 0.500 0.000
Bi4 0.700 0.700 0.000
Bi5 0.901 0.901 0.000

=====

VASP energy list, top to bottom, in Ry per atom: -0.3538; -0.3506; -0.3615; -0.3884; -0.3169; -0.3504; -0.3759; -0.3882; -0.3541; -0.3512; -0.3506; -0.3793; -0.3756; -0.3692; -0.3880; -0.3664; -0.3611; -0.3834; -0.3869; -0.3832; -0.3876; -0.3690; -0.3872; -0.3700; -0.3884